Entry 1:
Material: YAsRu3
Method: DFT, PBEsol
State: relaxed

abc: 4.6942 4.6942 4.6942
angles: 90.00 90.00 90.00
Sites, in units of the cell vectors:
Ru (0.0000, 0.5000, 0.0000)
Ru (0.0000, 0.0000, 0.5000)
Ru (0.5000, 0.0000, 0.0000)
As (0.5000, 0.5000, 0.5000)
Y (0.0000, 0.0000, 0.0000)

Properties
Crystal system: cubic
Space group: Pm-3m (221)
E in eV per atom: -6.292
Total magnetization in μB/cell: 0.06
Energy of formation from the pure elements in meV per atom: 2197
DOS at the Fermi energy in states/eV/f.u.: 8.550

=====

Entry 2:
Material: Zn2AsRu
Method: DFT, PBEsol
State: relaxed

abc: 2.8439 4.3370 4.7752
angles: 90.00 90.00 96.36
Each line ends with the local moment (μB).
Sites, in units of the cell vectors:
Ru (0.5000, 0.5000, 0.5000)  0.24
Zn (0.7735, 0.7392, 0.0000)  0.00
Zn (0.2265, 0.2608, 0.0000)  0.00
As (0.0000, 0.0000, 0.5000)  0.00

Properties
Crystal system: monoclinic
Space group: P2/m (10)
E in eV per atom: -4.491
Total magnetization in μB/cell: 0.25
Energy of formation from the pure elements in meV per atom: 120
DOS at the Fermi energy in states/eV/f.u.: 2.389

=====

Entry 3:
Material: Zn2AsRu
Method: DFT, PBEsol
State: relaxed

abc: 4.3213 4.3213 4.3213
angles: 60.00 60.00 60.00
Sites, in units of the cell vectors:
Zn (0.0000, 0.0000, 0.0000)
As (0.5000, 0.5000, 0.5000)
Zn (0.7500, 0.7500, 0.7500)
Ru (0.2500, 0.2500, 0.2500)

Properties
Crystal system: cubic
Space group: F-43m (216)
E in eV per atom: -4.411
Total magnetization in μB/cell: 0.00
Energy of formation from the pure elements in meV per atom: 200
DOS at the Fermi energy in states/eV/f.u.: 3.466